# 1
The following is a PBE-GGA calculation of a relaxed Tb4Nd3Er crystal, from Alexandria via LeMat-Bulk.

Computed properties:
ΔE to the lowest computed polymorph = 0.000 eV/f.u.
crystal system = orthorhombic
total moment = 0.00 Bohr magnetons per cell
space group = Pmn2_1
formation energy = 0.19 eV per formula unit

a b c (Å): 6.323 7.332 11.525
angles (deg): 90.00 90.00 90.00
Fractional coordinates of all 16 atoms:
Tb: 0.149 0.876 0.000
Tb: 0.647 0.122 0.000
Tb: 0.981 0.123 0.248
Tb: 0.481 0.877 0.252
Tb: 0.147 0.878 0.500
Tb: 0.649 0.124 0.500
Tb: 0.481 0.877 0.748
Tb: 0.981 0.123 0.752
Nd: 0.648 0.627 0.000
Nd: 0.981 0.626 0.250
Nd: 0.481 0.374 0.250
Nd: 0.148 0.373 0.500
Nd: 0.481 0.374 0.750
Nd: 0.981 0.626 0.750
Er: 0.146 0.371 0.000
Er: 0.646 0.629 0.500

***

# 2
The following is a PBE-GGA calculation of a relaxed Tb2Nd6Er crystal, from Alexandria via LeMat-Bulk.

Computed properties:
ΔE to the lowest computed polymorph = 0.420 eV/f.u.
crystal system = orthorhombic
total moment = 0.00 Bohr magnetons per cell
space group = Cmmm
formation energy = 1.16 eV per formula unit

a b c (Å): 3.668 10.064 10.064
angles (deg): 55.98 90.00 90.00
Fractional coordinates of all 9 atoms:
Tb: 0.500 0.176 0.176
Tb: 0.500 0.824 0.824
Nd: 0.000 0.510 0.160
Nd: 0.000 0.840 0.490
Nd: 0.000 0.490 0.840
Nd: 0.500 0.685 0.315
Nd: 0.000 0.160 0.510
Nd: 0.500 0.315 0.685
Er: 0.000 0.000 0.000

***

# 3
The following is a PBE-GGA calculation of a relaxed Tb6Nd4Er crystal, from Alexandria via LeMat-Bulk.

Computed properties:
ΔE to the lowest computed polymorph = 0.000 eV/f.u.
crystal system = hexagonal
total moment = 0.00 Bohr magnetons per cell
space group = P-6m2
formation energy = 1.75 eV per formula unit

a b c (Å): 3.580 11.042 11.042
angles (deg): 120.00 90.00 90.00
Fractional coordinates of all 11 atoms:
Tb: 0.000 0.514 0.028
Tb: 0.500 0.640 0.820
Tb: 0.000 0.514 0.486
Tb: 0.000 0.972 0.486
Tb: 0.500 0.180 0.820
Tb: 0.500 0.180 0.360
Nd: 0.500 0.838 0.675
Nd: 0.500 0.325 0.162
Nd: 0.500 0.838 0.162
Nd: 0.000 0.333 0.667
Er: 0.000 0.000 0.000

***

# 4
The following is a PBE-GGA calculation of a relaxed Tb4Nd3Er2 crystal, from Alexandria via LeMat-Bulk.

Computed properties:
ΔE to the lowest computed polymorph = 0.000 eV/f.u.
crystal system = triclinic
total moment = 0.00 Bohr magnetons per cell
space group = P-1
formation energy = 0.15 eV per formula unit

a b c (Å): 6.205 6.213 12.931
angles (deg): 118.64 103.99 119.90
Fractional coordinates of all 9 atoms:
Tb: 0.665 0.332 0.000
Tb: 0.335 0.668 0.000
Tb: 0.890 0.779 0.667
Tb: 0.110 0.221 0.333
Nd: 0.554 0.110 0.666
Nd: 0.000 0.000 0.000
Nd: 0.446 0.890 0.334
Er: 0.779 0.557 0.334
Er: 0.221 0.443 0.666

***

# 5
The following is a PBE-GGA calculation of a relaxed Tb7Nd2Er2 crystal, from Alexandria via LeMat-Bulk.

Computed properties:
ΔE to the lowest computed polymorph = 0.031 eV/f.u.
crystal system = monoclinic
total moment = 0.00 Bohr magnetons per cell
space group = C2/m
formation energy = 1.67 eV per formula unit

a b c (Å): 6.059 8.635 8.635
angles (deg): 83.21 63.73 63.73
Fractional coordinates of all 11 atoms:
Tb: 0.176 0.060 0.589
Tb: 0.824 0.411 0.940
Tb: 0.824 0.940 0.411
Tb: 0.176 0.589 0.060
Tb: 0.000 0.000 0.000
Tb: 0.630 0.586 0.586
Tb: 0.370 0.414 0.414
Nd: 0.132 0.230 0.230
Nd: 0.868 0.770 0.770
Er: 0.500 0.219 0.781
Er: 0.500 0.781 0.219

***

# 6
The following is a PBE-GGA calculation of a relaxed TbNd2ErTe5 crystal, from Alexandria via LeMat-Bulk.

Computed properties:
crystal system = tetragonal
formation energy without anion corrections = -773 meV/atom
total moment = 0.57 Bohr magnetons per cell
space group = P4/mmm

a b c (Å): 5.566 5.566 11.532
angles (deg): 90.00 90.00 90.00
Each line ends with the local moment (μB).
Fractional coordinates of all 9 atoms:
Tb: 0.000 0.000 0.500  -0.02
Nd: 0.500 0.500 0.338  -0.13
Nd: 0.500 0.500 0.662  -0.13
Er: 0.000 0.000 0.000  -0.01
Te: 0.000 0.500 0.500  0.00
Te: 0.500 0.000 0.500  0.00
Te: 0.000 0.000 0.756  0.00
Te: 0.000 0.000 0.244  0.00
Te: 0.500 0.500 0.000  -0.01

***

# 7
The following is a PBE-GGA calculation of a relaxed TbNdEr2Te6 crystal, from Alexandria via LeMat-Bulk.

Computed properties:
crystal system = trigonal
formation energy without anion corrections = -1357 meV/atom
total moment = 0.00 Bohr magnetons per cell
space group = R3

a b c (Å): 7.746 7.746 8.331
angles (deg): 62.30 62.30 60.00
Fractional coordinates of all 10 atoms:
Tb: 0.322 0.322 0.035
Nd: 0.819 0.819 0.543
Er: 0.509 0.509 0.473
Er: 0.007 0.007 0.978
Te: 0.607 0.238 0.246
Te: 0.238 0.909 0.246
Te: 0.909 0.607 0.246
Te: 0.398 0.734 0.749
Te: 0.734 0.118 0.749
Te: 0.118 0.398 0.749

***

# 8
The following is a PBE-GGA calculation of a relaxed TbNd3Er2Te6 crystal, from Alexandria via LeMat-Bulk.

Computed properties:
crystal system = monoclinic
formation energy without anion corrections = -1340 meV/atom
total moment = 0.00 Bohr magnetons per cell
space group = C2/m

a b c (Å): 4.363 8.954 9.940
angles (deg): 104.65 102.68 90.00
Fractional coordinates of all 12 atoms:
Tb: 0.500 0.000 0.000
Nd: 0.500 0.500 0.000
Nd: 0.835 0.168 0.671
Nd: 0.165 0.832 0.329
Er: 0.834 0.669 0.669
Er: 0.166 0.331 0.331
Te: 0.335 0.908 0.669
Te: 0.671 0.574 0.341
Te: 0.665 0.092 0.331
Te: 0.004 0.245 0.008
Te: 0.996 0.755 0.992
Te: 0.329 0.426 0.659

***

# 9
The following is a PBE-GGA calculation of a relaxed Tb2NdErTe6 crystal, from Alexandria via LeMat-Bulk.

Computed properties:
crystal system = trigonal
formation energy without anion corrections = -1364 meV/atom
total moment = 0.00 Bohr magnetons per cell
space group = R3

a b c (Å): 7.764 7.764 8.367
angles (deg): 62.37 62.37 60.00
Fractional coordinates of all 10 atoms:
Tb: 0.510 0.510 0.469
Tb: 0.008 0.008 0.975
Nd: 0.820 0.820 0.539
Er: 0.323 0.323 0.030
Te: 0.600 0.234 0.247
Te: 0.234 0.919 0.247
Te: 0.919 0.600 0.247
Te: 0.405 0.728 0.753
Te: 0.728 0.114 0.753
Te: 0.114 0.405 0.753

***

# 10
The following is a PBE-GGA calculation of a relaxed Tb3Nd4ErTe8 crystal, from Alexandria via LeMat-Bulk.

Computed properties:
crystal system = trigonal
formation energy without anion corrections = -1355 meV/atom
total moment = 0.00 Bohr magnetons per cell
space group = R-3m

a b c (Å): 8.776 8.945 8.777
angles (deg): 119.38 120.00 90.00
Fractional coordinates of all 16 atoms:
Tb: 0.500 0.500 0.000
Tb: 0.500 0.500 0.500
Tb: 0.000 0.500 0.500
Nd: 0.500 0.000 0.000
Nd: 0.500 0.000 0.500
Nd: 0.000 0.000 0.000
Nd: 0.000 0.000 0.500
Er: 0.000 0.500 0.000
Te: 0.245 0.737 0.993
Te: 0.245 0.737 0.489
Te: 0.254 0.261 0.507
Te: 0.748 0.737 0.993
Te: 0.252 0.263 0.007
Te: 0.746 0.739 0.493
Te: 0.755 0.263 0.511
Te: 0.755 0.263 0.007

***

# 11
The following is a PBE-GGA calculation of a relaxed TbNd2Er3Te6 crystal, from Alexandria via LeMat-Bulk.

Computed properties:
crystal system = monoclinic
formation energy without anion corrections = -1303 meV/atom
total moment = 0.00 Bohr magnetons per cell
space group = C2/m

a b c (Å): 4.340 8.875 9.868
angles (deg): 104.36 102.70 90.00
Fractional coordinates of all 12 atoms:
Tb: 0.500 0.000 0.000
Nd: 0.831 0.662 0.661
Nd: 0.169 0.338 0.339
Er: 0.500 0.500 0.000
Er: 0.829 0.164 0.658
Er: 0.171 0.836 0.342
Te: 0.334 0.926 0.669
Te: 0.662 0.593 0.324
Te: 0.666 0.074 0.331
Te: 0.996 0.251 0.992
Te: 0.004 0.749 0.008
Te: 0.338 0.407 0.676

***

# 12
The following is a PBE-GGA calculation of a relaxed Tb3NdEr3Te8 crystal, from Alexandria via LeMat-Bulk.

Computed properties:
crystal system = trigonal
formation energy without anion corrections = -1359 meV/atom
total moment = 0.00 Bohr magnetons per cell
space group = R-3m

a b c (Å): 8.678 8.678 8.670
angles (deg): 120.03 90.00 120.00
Fractional coordinates of all 15 atoms:
Tb: 0.000 0.000 0.000
Tb: 0.000 0.500 0.000
Tb: 0.500 0.500 0.000
Nd: 0.000 0.000 0.500
Er: 0.500 0.000 0.500
Er: 0.500 0.500 0.500
Er: 0.000 0.500 0.500
Te: 0.251 0.503 0.254
Te: 0.749 0.497 0.746
Te: 0.738 0.477 0.241
Te: 0.262 0.523 0.759
Te: 0.738 0.003 0.241
Te: 0.262 0.997 0.759
Te: 0.265 0.003 0.241
Te: 0.735 0.997 0.759

***

# 13
The following is a PBE-GGA calculation of a relaxed Tb4Nd2ErTh crystal, from Alexandria via LeMat-Bulk.

Computed properties:
crystal system = tetragonal
total moment = 0.00 Bohr magnetons per cell
space group = P4/mmm
formation energy = 1.04 eV per formula unit

a b c (Å): 5.949 5.956 9.488
angles (deg): 51.12 90.00 90.00
Fractional coordinates of all 8 atoms:
Tb: 0.000 0.750 0.750
Tb: 0.000 0.250 0.250
Tb: 0.500 0.751 0.249
Tb: 0.500 0.249 0.751
Nd: 0.000 0.000 0.000
Nd: 0.500 0.000 0.500
Er: 0.000 0.500 0.500
Th: 0.500 0.500 0.000

***

# 14
The following is a PBE-GGA calculation of a relaxed Tb2NdEr2Th2 crystal, from Alexandria via LeMat-Bulk.

Computed properties:
crystal system = monoclinic
total moment = 0.00 Bohr magnetons per cell
space group = C2/m
formation energy = 1.29 eV per formula unit

a b c (Å): 3.433 5.958 11.925
angles (deg): 80.04 90.00 106.74
Fractional coordinates of all 7 atoms:
Tb: 0.651 0.303 0.925
Tb: 0.349 0.697 0.075
Nd: 0.000 0.000 0.500
Er: 0.593 0.187 0.223
Er: 0.407 0.813 0.777
Th: 0.708 0.415 0.638
Th: 0.292 0.585 0.362

***

# 15
The following is a PBE-GGA calculation of a relaxed Tb3NdErTh crystal, from Alexandria via LeMat-Bulk.

Computed properties:
crystal system = monoclinic
total moment = 0.00 Bohr magnetons per cell
space group = P2_1/m
formation energy = 0.16 eV per formula unit

a b c (Å): 5.069 7.992 10.700
angles (deg): 116.26 90.00 90.00
Fractional coordinates of all 12 atoms:
Tb: 0.750 0.868 0.043
Tb: 0.250 0.132 0.957
Tb: 0.250 0.627 0.456
Tb: 0.750 0.373 0.544
Tb: 0.750 0.383 0.207
Tb: 0.250 0.617 0.793
Nd: 0.250 0.124 0.292
Nd: 0.750 0.876 0.708
Er: 0.250 0.128 0.628
Er: 0.750 0.872 0.372
Th: 0.250 0.620 0.122
Th: 0.750 0.380 0.878

***

# 16
The following is a PBE-GGA calculation of a relaxed TbNd2Er2Th2 crystal, from Alexandria via LeMat-Bulk.

Computed properties:
crystal system = monoclinic
total moment = 0.00 Bohr magnetons per cell
space group = C2/m
formation energy = 0.92 eV per formula unit

a b c (Å): 5.894 8.525 6.324
angles (deg): 127.27 90.00 110.23
Fractional coordinates of all 7 atoms:
Tb: 0.000 0.000 0.500
Nd: 0.715 0.429 0.098
Nd: 0.285 0.571 0.902
Er: 0.864 0.728 0.804
Er: 0.136 0.272 0.196
Th: 0.433 0.866 0.642
Th: 0.567 0.134 0.358

***

# 17
The following is a PBE-GGA calculation of a relaxed Tb5Nd2ErTh crystal, from Alexandria via LeMat-Bulk.

Computed properties:
crystal system = orthorhombic
total moment = 0.00 Bohr magnetons per cell
space group = Cmc2_1
formation energy = 1.50 eV per formula unit

a b c (Å): 5.649 10.467 10.641
angles (deg): 90.00 90.00 105.66
Fractional coordinates of all 18 atoms:
Tb: 0.391 0.782 0.024
Tb: 0.722 0.444 0.817
Tb: 0.478 0.956 0.738
Tb: 0.300 0.599 0.708
Tb: 0.984 0.968 0.524
Tb: 0.609 0.218 0.524
Tb: 0.278 0.556 0.317
Tb: 0.522 0.044 0.238
Tb: 0.700 0.401 0.208
Tb: 0.016 0.032 0.024
Nd: 0.885 0.770 0.820
Nd: 0.116 0.233 0.732
Nd: 0.115 0.230 0.320
Nd: 0.884 0.767 0.232
Er: 0.801 0.602 0.510
Er: 0.199 0.398 0.010
Th: 0.586 0.172 0.952
Th: 0.414 0.828 0.452

***

# 18
The following is a PBE-GGA calculation of a relaxed TbNd6Er2Th crystal, from Alexandria via LeMat-Bulk.

Computed properties:
crystal system = monoclinic
total moment = 0.00 Bohr magnetons per cell
space group = C2/c
formation energy = 1.42 eV per formula unit

a b c (Å): 9.733 8.869 8.869
angles (deg): 116.08 94.10 94.10
Fractional coordinates of all 20 atoms:
Tb: 0.250 0.408 0.592
Tb: 0.750 0.592 0.408
Nd: 0.058 0.109 0.761
Nd: 0.442 0.239 0.891
Nd: 0.942 0.891 0.239
Nd: 0.558 0.761 0.109
Nd: 0.313 0.990 0.426
Nd: 0.187 0.574 0.010
Nd: 0.687 0.010 0.574
Nd: 0.813 0.426 0.990
Nd: 0.119 0.702 0.487
Nd: 0.381 0.513 0.298
Nd: 0.881 0.298 0.513
Nd: 0.619 0.487 0.702
Er: 0.449 0.800 0.710
Er: 0.051 0.290 0.200
Er: 0.551 0.200 0.290
Er: 0.949 0.710 0.800
Th: 0.250 0.969 0.031
Th: 0.750 0.031 0.969

***

# 19
The following is a PBE-GGA calculation of a relaxed Tb3Nd6Er2Th crystal, from Alexandria via LeMat-Bulk.

Computed properties:
crystal system = monoclinic
total moment = 0.00 Bohr magnetons per cell
space group = C2/m
formation energy = 0.38 eV per formula unit

a b c (Å): 6.263 6.263 11.968
angles (deg): 95.02 95.02 119.95
Fractional coordinates of all 12 atoms:
Tb: 0.167 0.833 0.500
Tb: 0.833 0.167 0.500
Tb: 0.500 0.500 0.500
Nd: 0.917 0.587 0.751
Nd: 0.753 0.753 0.248
Nd: 0.083 0.413 0.249
Nd: 0.587 0.917 0.751
Nd: 0.247 0.247 0.752
Nd: 0.413 0.083 0.249
Er: 0.333 0.667 0.000
Er: 0.667 0.333 0.000
Th: 0.000 0.000 0.000

***

# 20
The following is a PBE-GGA calculation of a relaxed Tb6NdEr3Th2 crystal, from Alexandria via LeMat-Bulk.

Computed properties:
crystal system = monoclinic
total moment = 0.00 Bohr magnetons per cell
space group = C2/m
formation energy = 0.42 eV per formula unit

a b c (Å): 6.177 6.177 11.785
angles (deg): 95.02 95.02 119.94
Fractional coordinates of all 12 atoms:
Tb: 0.916 0.578 0.750
Tb: 0.746 0.746 0.250
Tb: 0.084 0.422 0.250
Tb: 0.578 0.916 0.750
Tb: 0.254 0.254 0.750
Tb: 0.422 0.084 0.250
Nd: 0.000 0.000 0.000
Er: 0.166 0.834 0.500
Er: 0.834 0.166 0.500
Er: 0.500 0.500 0.500
Th: 0.333 0.667 0.000
Th: 0.667 0.333 0.000

***

# 21
The following is a PBE-GGA calculation of a relaxed Tb6Nd2Er3Tl crystal, from Alexandria via LeMat-Bulk.

Computed properties:
crystal system = monoclinic
total moment = 0.00 Bohr magnetons per cell
space group = C2/m
formation energy = -0.34 eV per formula unit

a b c (Å): 6.109 6.109 11.747
angles (deg): 94.99 94.99 120.04
Fractional coordinates of all 12 atoms:
Tb: 0.916 0.588 0.748
Tb: 0.756 0.756 0.253
Tb: 0.084 0.412 0.252
Tb: 0.588 0.916 0.748
Tb: 0.244 0.244 0.747
Tb: 0.412 0.084 0.252
Nd: 0.334 0.666 0.000
Nd: 0.666 0.334 0.000
Er: 0.167 0.833 0.500
Er: 0.833 0.167 0.500
Er: 0.500 0.500 0.500
Tl: 0.000 0.000 0.000